Here is a geometry-optimized BeIr3I structure from Alexandria. Energies are from PBE-GGA.

The structure belongs to space group Pm-3m (No. 221); the cell edges are 4.8318, 4.8318 and 4.8318 Å and the angles 90.00°, 90.00° and 90.00°. The asymmetric unit holds Be at (0.0000, 0.0000, 0.0000), Ir at (0.0000, 0.5000, 0.5000) and I at (0.5000, 0.5000, 0.5000).

The energy relative to the lowest polymorph listed for this composition is 7.10 eV per formula unit. The value obtained for the total magnetic moment is 0.000 μB per formula unit. The calculation puts the final energy at -4.051 eV/atom.


Here is a geometry-optimized BeIrI3 structure from Alexandria. Energies are from PBE-GGA.

The structure belongs to space group Pm-3m (No. 221); the cell edges are 5.4223, 5.4223 and 5.4223 Å and the angles 90.00°, 90.00° and 90.00°. The asymmetric unit holds Be at (0.0000, 0.0000, 0.0000), Ir at (0.5000, 0.5000, 0.5000) and I at (0.0000, 0.5000, 0.5000).

The energy relative to the lowest polymorph listed for this composition is 0.00 eV per formula unit. The value obtained for the total magnetic moment is 0.000 μB per formula unit. The calculation puts the final energy at -2.576 eV/atom.


Here is a geometry-optimized BeIrI structure from Alexandria. Energies are from PBE-GGA.

The structure belongs to space group Cm (No. 8); the cell edges are 21.1164, 3.1106 and 3.6869 Å and the angles 90.00°, 99.92° and 90.00°. The asymmetric unit holds Be at (0.0000, 0.0000, 0.0000), Be at (0.0655, 0.0000, 0.5640), Ir at (0.0800, 0.5000, 0.0784), Ir at (0.4763, 0.0000, 0.4762), I at (0.2067, 0.5000, 0.2029) and I at (0.3806, 0.0000, 0.8817).

The energy relative to the lowest polymorph listed for this composition is 0.24 eV per formula unit. The value obtained for the total magnetic moment is 0.000 μB per formula unit. The calculation puts the final energy at -4.801 eV/atom.


Here is a geometry-optimized BeIrI structure from Alexandria. Energies are from PBE-GGA.

The structure belongs to space group F-43m (No. 216); the cell edges are 6.0609, 6.0609 and 6.0609 Å and the angles 90.00°, 90.00° and 90.00°. The asymmetric unit holds Be at (0.0000, 0.0000, 0.0000), Ir at (0.2500, 0.2500, 0.2500) and I at (0.0000, 0.0000, 0.5000).

The energy relative to the lowest polymorph listed for this composition is 2.23 eV per formula unit. The value obtained for the total magnetic moment is 0.000 μB per formula unit. The calculation puts the final energy at -4.137 eV/atom.


Here is a geometry-optimized Be2IrI8 structure from Alexandria. Energies are from PBE-GGA.

The structure belongs to space group C2/m (No. 12); the cell edges are 14.3122, 9.2296 and 6.5609 Å and the angles 90.00°, 90.46° and 90.00°. The asymmetric unit holds Be at (0.1624, 0.0000, 0.4170), Ir at (0.0000, 0.0000, 0.0000), I at (0.0757, 0.1978, 0.2518), I at (0.1634, 0.0000, 0.7852) and I at (0.1777, 0.5000, 0.6523).

The value obtained for the total magnetic moment is 0.270 μB per formula unit. The calculation puts the final energy at -2.884 eV/atom.


Here is a geometry-optimized BeIrI structure from Alexandria. Energies are from PBE-GGA.

The structure belongs to space group Pnma (No. 62); the cell edges are 8.5665, 3.8280 and 8.4865 Å and the angles 90.00°, 90.00° and 90.00°. The asymmetric unit holds Be at (0.0619, 0.2500, 0.0055), Ir at (0.1773, 0.7500, 0.0904) and I at (0.1738, 0.2500, 0.3245).

The energy relative to the lowest polymorph listed for this composition is 1.09 eV per formula unit. The value obtained for the total magnetic moment is 0.000 μB per formula unit. The calculation puts the final energy at -4.517 eV/atom.


Here is a geometry-optimized BeIrI2N structure from Alexandria. Energies are from PBE-GGA.

The structure belongs to space group P4/mmm (No. 123); the cell edges are 5.6087, 5.6087 and 3.7058 Å and the angles 90.00°, 90.00° and 90.00°. The asymmetric unit holds Be at (0.0000, 0.0000, 0.0000), Ir at (0.5000, 0.5000, 0.5000), I at (0.0000, 0.5000, 0.5000) and N at (0.5000, 0.5000, 0.0000).

The energy relative to the lowest polymorph listed for this composition is 0.00 eV per formula unit. The value obtained for the total magnetic moment is 0.000 μB per formula unit. The calculation puts the final energy at -4.008 eV/atom.


Here is a geometry-optimized BeIrI2N structure from Alexandria. Energies are from PBE-GGA.

The structure belongs to space group P4/mmm (No. 123); the cell edges are 5.3355, 5.3355 and 3.1046 Å and the angles 90.00°, 90.00° and 90.00°. The asymmetric unit holds Be at (0.0000, 0.0000, 0.0000), Ir at (0.5000, 0.5000, 0.5000), I at (0.0000, 0.5000, 0.0000) and N at (0.0000, 0.0000, 0.5000).

The energy relative to the lowest polymorph listed for this composition is 0.70 eV per formula unit. The value obtained for the total magnetic moment is 0.000 μB per formula unit. The calculation puts the final energy at -3.867 eV/atom.


Here is a geometry-optimized BeIrIN2 structure from Alexandria. Energies are from PBE-GGA.

The structure belongs to space group P4/mmm (No. 123); the cell edges are 3.5876, 3.5876 and 7.1195 Å and the angles 90.00°, 90.00° and 90.00°. The asymmetric unit holds Be at (0.0000, 0.0000, 0.0000), Ir at (0.5000, 0.5000, 0.5000), I at (0.0000, 0.0000, 0.5000) and N at (0.0000, 0.5000, 0.0000).

The energy relative to the lowest polymorph listed for this composition is 3.81 eV per formula unit. The value obtained for the total magnetic moment is 2.094 μB per formula unit. The calculation puts the final energy at -4.440 eV/atom.


Here is a geometry-optimized BeIrIN2 structure from Alexandria. Energies are from PBE-GGA.

The structure belongs to space group P4/mmm (No. 123); the cell edges are 3.7291, 3.7291 and 8.1512 Å and the angles 90.00°, 90.00° and 90.00°. The asymmetric unit holds Be at (0.0000, 0.0000, 0.0000), Ir at (0.5000, 0.5000, 0.5000), I at (0.5000, 0.5000, 0.0000) and N at (0.0000, 0.5000, 0.5000).

The energy relative to the lowest polymorph listed for this composition is 0.00 eV per formula unit. The value obtained for the total magnetic moment is 0.094 μB per formula unit. The calculation puts the final energy at -5.202 eV/atom.


Here is a geometry-optimized BeIrI2O structure from Alexandria. Energies are from PBE-GGA.

The structure belongs to space group P4/mmm (No. 123); the cell edges are 5.4674, 5.4674 and 3.0160 Å and the angles 90.00°, 90.00° and 90.00°. The asymmetric unit holds Be at (0.0000, 0.0000, 0.0000), Ir at (0.5000, 0.5000, 0.5000), I at (0.0000, 0.5000, 0.0000) and O at (0.0000, 0.0000, 0.5000).

The energy relative to the lowest polymorph listed for this composition is 0.00 eV per formula unit. The value obtained for the total magnetic moment is 0.000 μB per formula unit. The calculation puts the final energy at -4.132 eV/atom.


Here is a geometry-optimized BeIrI2O structure from Alexandria. Energies are from PBE-GGA.

The structure belongs to space group P4/mmm (No. 123); the cell edges are 5.5860, 5.5860 and 3.7400 Å and the angles 90.00°, 90.00° and 90.00°. The asymmetric unit holds Be at (0.0000, 0.0000, 0.0000), Ir at (0.5000, 0.5000, 0.5000), I at (0.0000, 0.5000, 0.5000) and O at (0.5000, 0.5000, 0.0000).

The energy relative to the lowest polymorph listed for this composition is 2.05 eV per formula unit. The value obtained for the total magnetic moment is 0.000 μB per formula unit. The calculation puts the final energy at -3.722 eV/atom.


Number 1: uncorrected formation energy 11.604 eV/f.u.. Number 2: uncorrected formation energy 4.358 eV/f.u.. Number 3: uncorrected formation energy -0.265 eV/f.u.. Number 4: uncorrected formation energy 1.727 eV/f.u.. Number 5: uncorrected formation energy -3.015 eV/f.u.. Number 6: uncorrected formation energy 0.586 eV/f.u.. Number 7: uncorrected formation energy 3.974 eV/f.u.. Number 8: uncorrected formation energy 4.676 eV/f.u.. Number 9: uncorrected formation energy 8.587 eV/f.u.. Number 10: uncorrected formation energy 4.778 eV/f.u.. Number 11: uncorrected formation energy -0.012 eV/f.u.. Number 12: uncorrected formation energy 2.034 eV/f.u..